[1]
! Ta7Al6 PBE relaxed; values from VASP
&SYSTEM
  ibrav = 0, nat = 13, ntyp = 2
/
ATOMIC_SPECIES
Al 26.98 Al.upf
Ta 180.95 Ta.upf
ATOMIC_POSITIONS crystal
Al 0.586 0.088 0.088
Ta 0.352 0.352 0.352
Al 0.088 0.088 0.586
Al 0.414 0.912 0.912
Ta 0.544 0.544 0.544
Ta 0.456 0.456 0.456
Ta 0.170 0.170 0.170
Al 0.912 0.414 0.912
Ta 0.830 0.830 0.830
Ta 0.000 0.000 0.000
Al 0.088 0.586 0.088
Al 0.912 0.912 0.414
Ta 0.648 0.648 0.648
CELL_PARAMETERS angstrom
2.580 1.489 9.443
-2.580 1.489 9.443
0.000 -2.979 9.443
! - Size of the total moment: 0.00 μB per formula unit
! - E_tot: -8.31 eV per atom



[2]
! Y2Ho2CI2Cl3 PBE relaxed; values from VASP
&SYSTEM
  ibrav = 0, nat = 10, ntyp = 5
/
ATOMIC_SPECIES
I 126.90 I.upf
Ho 164.93 Ho.upf
C 12.01 C.upf
Cl 35.45 Cl.upf
Y 88.91 Y.upf
ATOMIC_POSITIONS crystal
I 0.174 0.174 0.792
Ho 0.998 0.998 0.207
Ho 0.002 0.002 0.793
C 0.500 0.500 0.000
Cl 0.500 0.500 0.500
Y 0.634 0.634 0.069
Cl 0.853 0.853 0.679
I 0.826 0.826 0.208
Y 0.366 0.366 0.931
Cl 0.147 0.147 0.321
CELL_PARAMETERS angstrom
9.117 -1.901 0.000
9.117 1.901 0.000
-1.352 0.000 7.735
! - Size of the total moment: 0.11 μB per formula unit
! - E_tot: -5.44 eV per atom



[3]
! SbPt7 PBE relaxed; values from VASP
&SYSTEM
  ibrav = 0, nat = 16, ntyp = 2
/
ATOMIC_SPECIES
Pt 195.08 Pt.upf
Sb 121.76 Sb.upf
ATOMIC_POSITIONS crystal
Pt 0.000 0.500 0.701
Sb 0.000 0.500 0.160
Pt 0.500 0.000 0.207
Pt 0.000 0.500 0.254
Pt 0.500 0.000 0.478
Pt 0.000 0.500 0.793
Pt 0.500 0.000 0.299
Pt 0.000 0.500 0.433
Pt 0.000 0.500 0.612
Pt 0.500 0.000 0.657
Pt 0.000 0.500 0.522
Pt 0.000 0.500 0.343
Pt 0.500 0.000 0.388
Pt 0.500 0.000 0.567
Pt 0.500 0.000 0.746
Sb 0.500 0.000 0.840
CELL_PARAMETERS angstrom
2.866 0.000 0.000
0.000 2.866 0.000
0.000 0.000 42.677
! - Size of the total moment: 0.02 μB per formula unit
! - E_tot: -5.78 eV per atom



[4]
! Gd2ErMg3Pt2Au PBE relaxed; values from VASP
&SYSTEM
  ibrav = 0, nat = 9, ntyp = 5
/
ATOMIC_SPECIES
Pt 195.08 Pt.upf
Mg 24.30 Mg.upf
Gd 157.25 Gd.upf
Er 167.26 Er.upf
Au 196.97 Au.upf
ATOMIC_POSITIONS crystal
Pt 0.500 0.334 0.663
Mg 0.500 0.002 0.251
Mg 0.500 0.748 0.748
Mg 0.500 0.251 0.002
Gd 0.000 0.000 0.583
Gd 0.000 0.583 0.000
Er 0.000 0.415 0.415
Pt 0.500 0.663 0.334
Au 0.000 0.003 0.003
CELL_PARAMETERS angstrom
-2.042 -0.469 -3.461
4.145 -5.993 -1.634
-6.345 -0.814 3.853
! - Size of the total moment: 0.01 μB per formula unit
! - E_tot: -4.63 eV per atom



[5]
! BaTbMgTe3 PBE relaxed; values from VASP
&SYSTEM
  ibrav = 0, nat = 12, ntyp = 4
/
ATOMIC_SPECIES
Tb 158.93 Tb.upf
Te 127.60 Te.upf
Ba 137.33 Ba.upf
Mg 24.30 Mg.upf
ATOMIC_POSITIONS crystal
Tb 0.500 0.500 0.000
Te 0.422 0.578 0.750
Ba 0.744 0.256 0.750
Ba 0.256 0.744 0.250
Mg 0.032 0.968 0.750
Tb 0.500 0.500 0.500
Te 0.578 0.422 0.250
Te 0.862 0.138 0.057
Te 0.138 0.862 0.557
Mg 0.968 0.032 0.250
Te 0.862 0.138 0.443
Te 0.138 0.862 0.943
CELL_PARAMETERS angstrom
2.242 -7.809 0.000
2.242 7.809 0.000
0.000 0.000 11.563
! - Size of the total moment: 0.61 μB per formula unit
! - E_tot: -4.17 eV per atom



[6]
! Rb2TeWN4 PBE relaxed; values from VASP
&SYSTEM
  ibrav = 0, nat = 8, ntyp = 4
/
ATOMIC_SPECIES
N 14.01 N.upf
Rb 85.47 Rb.upf
Te 127.60 Te.upf
W 183.84 W.upf
ATOMIC_POSITIONS crystal
N 0.499 0.098 0.842
Rb 0.750 0.250 0.500
N 0.256 0.657 0.158
N 0.343 0.501 0.599
Te 0.500 0.500 0.000
Rb 0.000 0.000 0.000
N 0.902 0.744 0.401
W 0.250 0.750 0.500
CELL_PARAMETERS angstrom
-3.334 -4.759 -1.613
1.597 -2.374 5.308
-2.670 5.407 0.040
! - Size of the total moment: 0.00 μB per formula unit
! - E_tot: -6.39 eV per atom



[7]
! ZrBePO PBE relaxed; values from VASP
&SYSTEM
  ibrav = 0, nat = 8, ntyp = 4
/
ATOMIC_SPECIES
P 30.97 P.upf
Be 9.01 Be.upf
O 16.00 O.upf
Zr 91.22 Zr.upf
ATOMIC_POSITIONS crystal
P 0.000 0.679 0.283
P 0.000 0.321 0.783
Be 0.000 0.848 0.944
O 0.500 0.154 0.434
Zr 0.500 0.336 0.093
Zr 0.500 0.664 0.593
O 0.500 0.846 0.934
Be 0.000 0.152 0.444
CELL_PARAMETERS angstrom
3.541 0.000 0.000
0.000 4.428 0.000
0.000 0.000 6.187
! - Size of the total moment: 0.00 μB per formula unit
! - E_tot: -7.09 eV per atom



[8]
! CdNiH6 PBE relaxed; values from VASP
&SYSTEM
  ibrav = 0, nat = 8, ntyp = 3
/
ATOMIC_SPECIES
H 1.01 H.upf
Cd 112.41 Cd.upf
Ni 58.69 Ni.upf
ATOMIC_POSITIONS crystal
H 0.811 0.695 0.286
H 0.408 0.881 0.713
Cd 0.000 0.000 0.000
H 0.169 0.474 0.285
H 0.831 0.526 0.715
H 0.592 0.119 0.287
Ni 0.000 0.500 0.500
H 0.189 0.305 0.714
CELL_PARAMETERS angstrom
-2.527 -3.434 -0.796
3.374 -0.382 2.705
-1.681 3.358 2.559
! - Size of the total moment: 0.00 μB per formula unit
! - E_tot: -3.06 eV per atom